1.
Entry from Alexandria via LeMat-Bulk: an optimized crystal structure of SrW4Se (GGA-PBEsol).

```
SrW4Se
1.0
0.0000 3.8577 3.8577
3.8577 0.0000 3.8577
3.8577 3.8577 0.0000
Sr W Se
1 4 1
Direct
0.0000 0.0000 0.0000 Sr
0.1260 0.6247 0.6247 W
0.6247 0.1260 0.6247 W
0.6247 0.6247 0.1260 W
0.6247 0.6247 0.6247 W
0.2500 0.2500 0.2500 Se
```

Its space-group type is F-43m, No. 216. For the size of the total moment, the calculation gives 0.0 μB/f.u. The total energy is -55.18 eV/cell. The calculation puts the density of states at the Fermi level at 5.47 states/eV per cell. As for the crystal system: cubic.


2.
Entry from Alexandria via LeMat-Bulk: an optimized crystal structure of SrWSe2 (GGA-PBEsol).

```
SrWSe2
1.0
3.5061 0.0000 0.0000
0.0000 3.5061 0.0000
0.0000 0.0000 7.7507
Sr W Se
1 1 2
Direct
0.0000 0.0000 0.0000 Sr
0.5000 0.5000 0.4800 W
0.0000 0.0000 0.3786 Se
0.5000 0.5000 0.7932 Se
```

The offset from the most stable computed form is 0.3863 eV per atom. Its space-group type is P4mm, No. 99. For the size of the total moment, the calculation gives 0.0 μB/f.u. The calculation puts the density of states at the Fermi level at 4.93 states/eV per cell. As for the crystal system: tetragonal.


3.
Entry from Alexandria via LeMat-Bulk: an optimized crystal structure of SrWSe2 (GGA-PBEsol).

```
SrWSe2
1.0
2.0235 1.1683 6.1744
-2.0235 1.1683 6.1744
0.0000 -2.3366 6.1744
Sr W Se
1 1 2
Direct
0.0000 0.0000 0.0000 Sr
0.5000 0.5000 0.5000 W
0.2316 0.2316 0.2316 Se
0.7684 0.7684 0.7684 Se
```

The offset from the most stable computed form is 0.0000 eV per atom. Its space-group type is R-3m, No. 166. For the size of the total moment, the calculation gives 1.8 μB/f.u. The calculation puts the density of states at the Fermi level at 1.73 states/eV per cell. As for the crystal system: trigonal.


4.
Entry from Alexandria via LeMat-Bulk: an optimized crystal structure of SrWSe2 (GGA-PBEsol).

```
SrWSe2
1.0
0.0000 3.3602 3.3602
3.3602 0.0000 3.3602
3.3602 3.3602 0.0000
Sr W Se
1 1 2
Direct
0.0000 0.0000 0.0000 Sr
0.5000 0.5000 0.5000 W
0.2500 0.2500 0.2500 Se
0.7500 0.7500 0.7500 Se
```

The offset from the most stable computed form is 0.3049 eV per atom. Its space-group type is Fm-3m, No. 225. For the size of the total moment, the calculation gives 0.0 μB/f.u. As for the crystal system: cubic.


5.
Entry from Alexandria via LeMat-Bulk: an optimized crystal structure of SrYSe2 (GGA-PBEsol).

```
SrYSe2
1.0
4.3320 0.0000 0.0000
0.0000 1.9833 6.0826
0.0000 -1.9833 6.0826
Sr Y Se
1 1 2
Direct
0.0000 0.0000 0.0000 Sr
0.5000 0.2701 0.2701 Y
0.0000 0.7484 0.7484 Se
0.5000 0.5005 0.5005 Se
```

The offset from the most stable computed form is 0.2473 eV per atom. Its space-group type is Amm2, No. 38. For the size of the total moment, the calculation gives 0.0 μB/f.u. The calculation puts the density of states at the Fermi level at 1.96 states/eV per cell. As for the crystal system: orthorhombic.


6.
Entry from Alexandria via LeMat-Bulk: an optimized crystal structure of SrYSe (GGA-PBEsol).

```
SrYSe
1.0
0.0000 3.5802 3.5802
3.5802 0.0000 3.5802
3.5802 3.5802 0.0000
Sr Y Se
1 1 1
Direct
0.0000 0.0000 0.0000 Sr
0.7500 0.7500 0.7500 Y
0.5000 0.5000 0.5000 Se
```

Its space-group type is F-43m, No. 216. For the size of the total moment, the calculation gives 2.0 μB/f.u. The total energy is -12.38 eV/cell. The calculation puts the density of states at the Fermi level at 3.72 states/eV per cell. As for the crystal system: cubic.


7.
Entry from Alexandria via LeMat-Bulk: an optimized crystal structure of SrY4Se (GGA-PBEsol).

```
SrY4Se
1.0
0.0000 4.6306 4.6306
4.6306 0.0000 4.6306
4.6306 4.6306 0.0000
Sr Y Se
1 4 1
Direct
0.0000 0.0000 0.0000 Sr
0.3742 0.3742 0.3742 Y
0.3742 0.3742 0.8775 Y
0.3742 0.8775 0.3742 Y
0.8775 0.3742 0.3742 Y
0.7500 0.7500 0.7500 Se
```

Its space-group type is F-43m, No. 216. For the size of the total moment, the calculation gives 0.0 μB/f.u. The total energy is -31.51 eV/cell. The calculation puts the density of states at the Fermi level at 7.59 states/eV per cell. As for the crystal system: cubic.


8.
Entry from Alexandria via LeMat-Bulk: an optimized crystal structure of SrYSe2 (GGA-PBEsol).

```
SrYSe2
1.0
-3.3185 3.3185 6.4530
3.3185 -3.3185 6.4530
3.3185 3.3185 -6.4530
Sr Y Se
2 2 4
Direct
0.0000 0.0000 0.0000 Sr
0.7500 0.2500 0.5000 Sr
0.2500 0.7500 0.5000 Y
0.5000 0.5000 0.0000 Y
0.1551 0.6250 0.0301 Se
0.3750 0.4051 0.5301 Se
0.5949 0.1250 0.9699 Se
0.8750 0.8449 0.4699 Se
```

The offset from the most stable computed form is 0.4430 eV per atom. Its space-group type is I-42d, No. 122. For the size of the total moment, the calculation gives 0.0 μB/f.u. The calculation puts the density of states at the Fermi level at 6.67 states/eV per cell. As for the crystal system: tetragonal.


9.
Entry from Alexandria via LeMat-Bulk: an optimized crystal structure of SrYSe2 (GGA-PBEsol).

```
SrYSe2
1.0
2.0711 1.1958 6.9472
-2.0711 1.1958 6.9472
0.0000 -2.3915 6.9472
Sr Y Se
1 1 2
Direct
0.0000 0.0000 0.0000 Sr
0.5000 0.5000 0.5000 Y
0.2436 0.2436 0.2436 Se
0.7564 0.7564 0.7564 Se
```

The offset from the most stable computed form is 0.0000 eV per atom. Its space-group type is R-3m, No. 166. For the size of the total moment, the calculation gives 0.0 μB/f.u. The calculation puts the density of states at the Fermi level at 1.38 states/eV per cell. As for the crystal system: trigonal.


10.
Entry from Alexandria via LeMat-Bulk: an optimized crystal structure of Sr2YSe (GGA-PBEsol).

```
Sr2YSe
1.0
2.0141 1.1629 10.3646
-2.0141 1.1629 10.3646
0.0000 -2.3257 10.3646
Sr Y Se
2 1 1
Direct
0.2288 0.2288 0.2288 Sr
0.7712 0.7712 0.7712 Sr
0.0000 0.0000 0.0000 Y
0.5000 0.5000 0.5000 Se
```

Its space-group type is R-3m, No. 166. For the size of the total moment, the calculation gives 1.1 μB/f.u. The total energy is -17.34 eV/cell. The calculation puts the density of states at the Fermi level at 4.41 states/eV per cell. As for the crystal system: trigonal.


11.
Entry from Alexandria via LeMat-Bulk: an optimized crystal structure of SrY2Se (GGA-PBEsol).

```
SrY2Se
1.0
3.7254 0.0000 0.0000
0.0000 3.7254 0.0000
0.0000 0.0000 8.6577
Sr Y Se
1 2 1
Direct
0.0000 0.0000 0.0000 Sr
0.0000 0.0000 0.5898 Y
0.5000 0.5000 0.3320 Y
0.5000 0.5000 0.7416 Se
```

Its space-group type is P4mm, No. 99. For the size of the total moment, the calculation gives 0.2 μB/f.u. The total energy is -22.36 eV/cell. The calculation puts the density of states at the Fermi level at 4.78 states/eV per cell. As for the crystal system: tetragonal.


12.
Entry from Alexandria via LeMat-Bulk: an optimized crystal structure of Sr2YSe (GGA-PBEsol).

```
Sr2YSe
1.0
2.6410 -2.6577 0.0000
2.6410 2.6577 0.0000
0.0000 0.0000 9.6478
Sr Y Se
2 1 1
Direct
0.0000 0.0000 0.1879 Sr
0.0000 0.0000 0.8121 Sr
0.5000 0.5000 0.5000 Y
0.5000 0.5000 0.0000 Se
```

Its space-group type is Cmmm, No. 65. For the size of the total moment, the calculation gives 0.3 μB/f.u. The total energy is -17.29 eV/cell. The calculation puts the density of states at the Fermi level at 4.13 states/eV per cell. As for the crystal system: orthorhombic.


13.
Entry from Alexandria via LeMat-Bulk: an optimized crystal structure of SrY2Se4 (GGA-PBEsol).

```
SrY2Se4
1.0
12.3681 0.0000 0.0000
0.0000 4.0983 0.0000
0.0000 0.0000 14.8171
Sr Y Se
4 8 16
Direct
0.2416 0.2500 0.1648 Sr
0.2584 0.7500 0.6648 Sr
0.7416 0.2500 0.3352 Sr
0.7584 0.7500 0.8352 Sr
0.0672 0.2500 0.3907 Y
0.0807 0.2500 0.9014 Y
0.4193 0.7500 0.4014 Y
0.4328 0.7500 0.8907 Y
0.5672 0.2500 0.1093 Y
0.5807 0.2500 0.5986 Y
0.9193 0.7500 0.0986 Y
0.9328 0.7500 0.6093 Y
0.0232 0.7500 0.7839 Se
0.0885 0.2500 0.5797 Se
0.1333 0.7500 0.0284 Se
0.2075 0.7500 0.3251 Se
0.2925 0.2500 0.8251 Se
0.3667 0.2500 0.5284 Se
0.4115 0.7500 0.0797 Se
0.4768 0.2500 0.2839 Se
0.5232 0.7500 0.7161 Se
0.5885 0.2500 0.9203 Se
0.6333 0.7500 0.4716 Se
0.7075 0.7500 0.1749 Se
0.7925 0.2500 0.6749 Se
0.8667 0.2500 0.9716 Se
0.9115 0.7500 0.4203 Se
0.9768 0.2500 0.2161 Se
```

Its space-group type is Pnma, No. 62. For the size of the total moment, the calculation gives 0.0 μB/f.u. The total energy is -178.89 eV/cell. As for the crystal system: orthorhombic.


14.
Entry from Alexandria via LeMat-Bulk: an optimized crystal structure of SrY2Se (GGA-PBEsol).

```
SrY2Se
1.0
5.2501 0.0000 0.0000
0.0000 5.2501 0.0000
0.0000 0.0000 3.9296
Sr Y Se
1 2 1
Direct
0.0000 0.0000 0.0000 Sr
0.0000 0.5000 0.5000 Y
0.5000 0.0000 0.5000 Y
0.5000 0.5000 0.0000 Se
```

Its space-group type is P4/mmm, No. 123. For the size of the total moment, the calculation gives 0.0 μB/f.u. The total energy is -20.36 eV/cell. The calculation puts the density of states at the Fermi level at 3.85 states/eV per cell. As for the crystal system: tetragonal.


15.
Entry from Alexandria via LeMat-Bulk: an optimized crystal structure of SrY2Se (GGA-PBEsol).

```
SrY2Se
1.0
-1.8513 2.7097 5.8320
1.8513 -2.7097 5.8320
1.8513 2.7097 -5.8320
Sr Y Se
1 2 1
Direct
0.0000 0.0000 0.0000 Sr
0.4002 0.4002 0.0000 Y
0.6929 0.1929 0.5000 Y
0.2136 0.7136 0.5000 Se
```

Its space-group type is Imm2, No. 44. For the size of the total moment, the calculation gives 0.0 μB/f.u. The total energy is -21.55 eV/cell. The calculation puts the density of states at the Fermi level at 3.81 states/eV per cell. As for the crystal system: orthorhombic.


16.
Entry from Alexandria via LeMat-Bulk: an optimized crystal structure of SrYSe2 (GGA-PBEsol).

```
SrYSe2
1.0
4.1815 0.0000 0.0000
0.0000 4.1815 0.0000
0.0000 0.0000 5.8966
Sr Y Se
1 1 2
Direct
0.0000 0.0000 0.0000 Sr
0.5000 0.5000 0.5000 Y
0.0000 0.0000 0.5000 Se
0.5000 0.5000 0.0000 Se
```

The offset from the most stable computed form is 0.0554 eV per atom. Its space-group type is P4/mmm, No. 123. For the size of the total moment, the calculation gives 0.0 μB/f.u. The calculation puts the density of states at the Fermi level at 1.19 states/eV per cell. As for the crystal system: tetragonal.


17.
Entry from Alexandria via LeMat-Bulk: an optimized crystal structure of SrY2Se (GGA-PBEsol).

```
SrY2Se
1.0
3.3051 -5.7394 0.0000
3.3051 5.7394 0.0000
-2.0644 0.0000 3.0739
Sr Y Se
1 2 1
Direct
0.0000 0.0000 0.0000 Sr
0.0000 0.5000 0.0000 Y
0.5000 0.0000 0.0000 Y
0.5000 0.5000 0.0000 Se
```

Its space-group type is C2/m, No. 12. For the size of the total moment, the calculation gives 0.0 μB/f.u. The total energy is -20.75 eV/cell. The calculation puts the density of states at the Fermi level at 3.93 states/eV per cell. As for the crystal system: monoclinic.


18.
Entry from Alexandria via LeMat-Bulk: an optimized crystal structure of SrY2ZnSe (GGA-PBEsol).

```
SrY2ZnSe
1.0
5.7086 0.0000 0.0000
0.0000 5.7086 0.0000
0.0000 0.0000 4.9448
Sr Y Zn Se
1 2 1 1
Direct
0.0000 0.0000 0.0000 Sr
0.0000 0.5000 0.0000 Y
0.5000 0.0000 0.0000 Y
0.0000 0.0000 0.5000 Zn
0.5000 0.5000 0.5000 Se
```

Its space-group type is P4/mmm, No. 123. For the size of the total moment, the calculation gives 0.0 μB/f.u. The total energy is -15.62 eV/cell. The calculation puts the density of states at the Fermi level at 5.89 states/eV per cell. As for the crystal system: tetragonal.


19.
Entry from Alexandria via LeMat-Bulk: an optimized crystal structure of SrZnSe2 (GGA-PBEsol).

```
SrZnSe2
1.0
3.9890 0.0000 0.0000
0.0000 3.6536 0.0000
-0.8083 0.0000 6.9491
Sr Zn Se
1 1 2
Direct
0.0000 0.0000 0.0000 Sr
0.5000 0.0000 0.5000 Zn
0.4489 0.5000 0.7453 Se
0.5511 0.5000 0.2547 Se
```

Its space-group type is P2/m, No. 10. For the size of the total moment, the calculation gives 0.0 μB/f.u. The total energy is -15.26 eV/cell. The calculation puts the density of states at the Fermi level at 0.42 states/eV per cell. As for the crystal system: monoclinic.


20.
Entry from Alexandria via LeMat-Bulk: an optimized crystal structure of SrZnSe2 (GGA-PBEsol).

```
SrZnSe2
1.0
0.0000 3.5821 3.5821
3.5821 0.0000 3.5821
3.5821 3.5821 0.0000
Sr Zn Se
1 1 2
Direct
0.0000 0.0000 0.0000 Sr
0.7500 0.7500 0.7500 Zn
0.2500 0.2500 0.2500 Se
0.5000 0.5000 0.5000 Se
```

Its space-group type is F-43m, No. 216. For the size of the total moment, the calculation gives 0.0 μB/f.u. The total energy is -12.94 eV/cell. The calculation puts the density of states at the Fermi level at 2.43 states/eV per cell. As for the crystal system: cubic.